Entry 1:
The following is a PBE with a Hubbard U calculation of a relaxed structure of BaTiFe3Bi3O12, from the Alexandria database.

Cell: 9.9658 9.9658 9.9658 Å, 33.05 33.05 33.05°
Each line ends with the local moment (μB).
Element x y z (fractional)
Ba1 0.2597 0.2597 0.2597  0.00
Ti1 0.8790 0.8790 0.8790  0.10
Fe1 0.3857 0.3857 0.3857  4.35
Fe2 0.6337 0.6337 0.6337  4.32
Fe3 0.1367 0.1367 0.1367  4.35
Bi1 0.7443 0.7443 0.7443  0.01
Bi2 0.9933 0.9933 0.9933  0.02
Bi3 0.4936 0.4936 0.4936  0.01
O1 0.8028 0.7514 0.2481  0.12
O2 0.3494 0.2063 0.7508  0.16
O3 0.7514 0.2481 0.8028  0.12
O4 0.2063 0.7508 0.3494  0.16
O5 0.2481 0.8028 0.7514  0.12
O6 0.7508 0.3494 0.2063  0.16
O7 0.0744 0.5192 0.9503  0.07
O8 0.5862 0.0046 0.4623  0.16
O9 0.5192 0.9503 0.0744  0.07
O10 0.0046 0.4623 0.5862  0.16
O11 0.9503 0.0744 0.5192  0.07
O12 0.4623 0.5862 0.0046  0.16

symmetry	R3 (146)
E_tot	-6.65	eV per atom
Fermi-level density of states	0.000	states/eV per atom
magnetization	0.748	μB/atom

---

Entry 2:
The following is a PBE with a Hubbard U calculation of a relaxed structure of Ba3Ti3Fe3Bi2O18, from the Alexandria database.

Cell: 5.6384 5.6384 13.9193 Å, 90.00 90.00 120.00°
Each line ends with the local moment (μB).
Element x y z (fractional)
Ba1 0.0000 0.0000 0.9881  0.00
Ba2 0.6667 0.3333 0.1684  0.00
Ba3 0.0000 0.0000 0.4976  0.00
Ti1 0.6667 0.3333 0.9113  -0.01
Ti2 0.3333 0.6667 0.0647  0.03
Ti3 0.0000 0.0000 0.7398  0.03
Fe1 0.0000 0.0000 0.2548  4.15
Fe2 0.6667 0.3333 0.4207  3.92
Fe3 0.3333 0.6667 0.5863  4.22
Bi1 0.3333 0.6667 0.2964  0.01
Bi2 0.6667 0.3333 0.7023  -0.01
O1 0.8255 0.1745 0.8282  0.04
O2 0.5027 0.4973 0.5021  0.28
O3 0.1633 0.8367 0.6670  0.13
O4 0.8304 0.1696 0.3361  0.08
O5 0.5018 0.4982 0.0027  0.00
O6 0.1738 0.8262 0.1759  0.07
O7 0.6735 0.8367 0.6670  0.13
O8 0.3393 0.1696 0.3361  0.08
O9 0.9946 0.4973 0.5021  0.28
O10 0.6524 0.8262 0.1759  0.07
O11 0.3490 0.1745 0.8282  0.04
O12 0.9963 0.4982 0.0027  0.00
O13 0.8255 0.6510 0.8282  0.04
O14 0.5027 0.0054 0.5021  0.28
O15 0.1633 0.3265 0.6670  0.13
O16 0.8304 0.6607 0.3361  0.08
O17 0.5018 0.0037 0.0027  0.00
O18 0.1738 0.3476 0.1759  0.07

symmetry	P3m1 (156)
E_tot	-7.00	eV per atom
Fermi-level density of states	0.287	states/eV per atom
magnetization	0.500	μB/atom